(1)
This record from Alexandria via LeMat-Bulk describes an optimized crystal structure of BeGa2O4. The functional is PBEsol. Values from VASP.

Quantum ESPRESSO input file:
```
&SYSTEM
  ibrav = 0, nat = 42, ntyp = 3
/
ATOMIC_SPECIES
Be 9.01 Be.upf
Ga 69.72 Ga.upf
O 16.00 O.upf
CELL_PARAMETERS angstrom
7.763 0.000 0.000
-3.881 6.723 0.000
0.000 0.000 8.935
ATOMIC_POSITIONS crystal
Be 0.776 0.608 0.421
Be 0.832 0.224 0.755
Be 0.392 0.168 0.088
Be 0.605 0.833 0.913
Be 0.167 0.772 0.580
Be 0.228 0.395 0.246
Ga 0.741 0.579 0.086
Ga 0.771 0.595 0.740
Ga 0.838 0.259 0.419
Ga 0.824 0.229 0.073
Ga 0.405 0.176 0.407
Ga 0.421 0.162 0.753
Ga 0.587 0.820 0.247
Ga 0.590 0.842 0.594
Ga 0.180 0.768 0.914
Ga 0.158 0.749 0.260
Ga 0.232 0.413 0.580
Ga 0.251 0.410 0.927
O 0.692 0.670 0.570
O 0.691 0.673 0.911
O 0.720 0.679 0.266
O 0.978 0.308 0.903
O 0.960 0.280 0.599
O 0.982 0.309 0.245
O 0.691 0.328 0.752
O 0.637 0.309 0.085
O 0.672 0.363 0.418
O 0.675 0.955 0.070
O 0.673 0.982 0.768
O 0.655 0.984 0.414
O 0.321 0.040 0.932
O 0.327 0.018 0.578
O 0.330 0.022 0.236
O 0.361 0.682 0.915
O 0.318 0.679 0.582
O 0.321 0.639 0.249
O 0.018 0.691 0.435
O 0.045 0.720 0.737
O 0.016 0.671 0.081
O 0.280 0.325 0.404
O 0.329 0.345 0.747
O 0.309 0.327 0.101
```

Output
Calculated volume = 11.1 A^3/atom
SG = P3_2
Formation energy (no corrections) = -2.134 eV/atom

(2)
This record from Alexandria via LeMat-Bulk describes an optimized crystal structure of MnReAs2. The functional is PBEsol. Values from VASP.

Quantum ESPRESSO input file:
```
&SYSTEM
  ibrav = 0, nat = 4, ntyp = 3
/
ATOMIC_SPECIES
As 74.92 As.upf
Mn 54.94 Mn.upf
Re 186.21 Re.upf
CELL_PARAMETERS angstrom
3.206 0.000 0.000
0.000 3.231 0.000
-1.603 -1.615 5.685
ATOMIC_POSITIONS crystal
As 0.965 0.965 0.931
As 0.700 0.200 0.399
Mn 0.539 0.539 0.079
Re 0.296 0.796 0.592
```

Output
Calculated volume = 14.7 A^3/atom
E_form = 0.09 eV/atom
SG = Imm2

(3)
This record from Alexandria via LeMat-Bulk describes an optimized crystal structure of MgSc2Fe. The functional is PBEsol. Values from VASP.

Quantum ESPRESSO input file:
```
&SYSTEM
  ibrav = 0, nat = 4, ntyp = 3
/
ATOMIC_SPECIES
Fe 55.84 Fe.upf
Mg 24.30 Mg.upf
Sc 44.96 Sc.upf
CELL_PARAMETERS angstrom
3.180 0.000 0.000
1.590 2.754 0.000
1.590 0.918 8.937
ATOMIC_POSITIONS crystal
Fe 0.500 0.500 0.500
Mg 0.000 0.000 0.000
Sc 0.232 0.232 0.304
Sc 0.768 0.768 0.696
```

Output
Calculated volume = 19.6 A^3/atom
E_form = 0.08 eV/atom
SG = R-3m

(4)
This record from Alexandria via LeMat-Bulk describes an optimized crystal structure of USbAs. The functional is PBEsol. Values from VASP.

Quantum ESPRESSO input file:
```
&SYSTEM
  ibrav = 0, nat = 6, ntyp = 3
/
ATOMIC_SPECIES
Sb 121.76 Sb.upf
As 74.92 As.upf
U 238.03 U.upf
CELL_PARAMETERS angstrom
4.075 0.000 0.000
0.000 4.075 0.000
0.000 0.000 8.213
ATOMIC_POSITIONS crystal
Sb 0.500 0.500 0.000
Sb 0.000 0.000 0.000
As 0.000 0.500 0.354
As 0.500 0.000 0.646
U 0.000 0.500 0.697
U 0.500 0.000 0.303
```

Output
Calculated volume = 22.7 A^3/atom
SG = P4/nmm
Formation energy (no corrections) = -0.442 eV/atom

(5)
This record from Alexandria via LeMat-Bulk describes an optimized crystal structure of SbMoPt3. The functional is PBEsol. Values from VASP.

Quantum ESPRESSO input file:
```
&SYSTEM
  ibrav = 0, nat = 5, ntyp = 3
/
ATOMIC_SPECIES
Sb 121.76 Sb.upf
Mo 95.94 Mo.upf
Pt 195.08 Pt.upf
CELL_PARAMETERS angstrom
4.829 0.000 0.000
0.000 4.829 0.000
0.000 0.000 4.829
ATOMIC_POSITIONS crystal
Sb 0.000 0.000 0.000
Mo 0.500 0.500 0.500
Pt 0.000 0.500 0.000
Pt 0.000 0.000 0.500
Pt 0.500 0.000 0.000
```

Output
Calculated volume = 22.5 A^3/atom
SG = Pm-3m
Formation energy (no corrections) = 1.415 eV/atom

(6)
This record from Alexandria via LeMat-Bulk describes an optimized crystal structure of K3BaAu. The functional is PBEsol. Values from VASP.

Quantum ESPRESSO input file:
```
&SYSTEM
  ibrav = 0, nat = 5, ntyp = 3
/
ATOMIC_SPECIES
K 39.10 K.upf
Au 196.97 Au.upf
Ba 137.33 Ba.upf
CELL_PARAMETERS angstrom
7.951 0.000 0.000
0.000 7.951 0.000
0.000 0.000 7.951
ATOMIC_POSITIONS crystal
K 0.000 0.500 0.000
K 0.000 0.000 0.500
K 0.500 0.000 0.000
Au 0.500 0.500 0.500
Ba 0.000 0.000 0.000
```

Output
Calculated volume = 100.5 A^3/atom
E_form = 0.87 eV/atom
SG = Pm-3m

(7)
This record from Alexandria via LeMat-Bulk describes an optimized crystal structure of YTaTl2. The functional is PBEsol. Values from VASP.

Quantum ESPRESSO input file:
```
&SYSTEM
  ibrav = 0, nat = 4, ntyp = 3
/
ATOMIC_SPECIES
Ta 180.95 Ta.upf
Tl 204.38 Tl.upf
Y 88.91 Y.upf
CELL_PARAMETERS angstrom
3.161 0.000 0.000
0.000 3.161 0.000
0.000 0.000 8.809
ATOMIC_POSITIONS crystal
Ta 0.500 0.500 0.500
Tl 0.000 0.000 0.736
Tl 0.000 0.000 0.264
Y 0.500 0.500 0.000
```

Output
Calculated volume = 22.0 A^3/atom
E_form = 0.12 eV/atom
SG = P4/mmm

(8)
This record from Alexandria via LeMat-Bulk describes an optimized crystal structure of BeZnPt2. The functional is PBEsol. Values from VASP.

Quantum ESPRESSO input file:
```
&SYSTEM
  ibrav = 0, nat = 4, ntyp = 3
/
ATOMIC_SPECIES
Be 9.01 Be.upf
Zn 65.41 Zn.upf
Pt 195.08 Pt.upf
CELL_PARAMETERS angstrom
-1.642 -1.228 1.867
1.052 -3.840 -1.600
3.831 1.577 2.346
ATOMIC_POSITIONS crystal
Be 0.254 0.817 0.508
Zn 0.510 0.453 0.020
Pt 0.980 0.927 0.960
Pt 0.756 0.302 0.511
```

Output
Calculated volume = 12.9 A^3/atom
E_form = -0.49 eV/atom
SG = Cm